Entry 1:
Entry from Alexandria: Ac2GePd after structural relaxation (PBE).

Cell lengths 11.4847, 4.8337, 9.9326 Å; angles 90.00, 115.62, 90.00 degrees
Closest atoms and distances in Å follow each position.
Space group C2/c (No. 15)
One atom of each set of equivalent atoms:
Ac1 0.1793 0.0022 0.0896  2 Pd 3.10, 1 Ge 3.32
Ge1 0.0000 0.4910 0.7500  2 Pd 2.41-2.42
Pd1 0.0000 0.0095 0.2500  2 Ge 2.41-2.42

Properties
Energy above the most stable polymorph in this dataset ... 1.38 eV per formula unit
Fermi-level density of states ... 0.806 states/eV per atom

=====

Entry 2:
Entry from Alexandria: AcGePd4 after structural relaxation (PBE).

Cell lengths 7.8513, 4.0634, 7.2675 Å; angles 90.00, 90.00, 90.00 degrees
Closest atoms and distances in Å follow each position.
Space group Pmma (No. 51)
One atom of each set of equivalent atoms:
Ac1 0.2500 0.0000 0.1401  8 Pd 3.09-3.27, 1 Ge 3.16
Ge1 0.2500 0.0000 0.7047  8 Pd 2.46-2.69
Pd1 0.0000 0.0000 0.5000  2 Ge 2.46
Pd2 0.0586 0.5000 0.8008  2 Ge 2.62, 1 Pd 2.89
Pd3 0.2500 0.5000 0.4613  2 Ge 2.69, 6 Pd 2.84-2.89

Properties
Energy above the most stable polymorph in this dataset ... 0.00 eV per formula unit
Fermi-level density of states ... 0.402 states/eV per atom

=====

| no. | DFT formation energy (eV/atom) |
| --- | --- |
| 1 | -0.40 |
| 2 | -0.65 |